# 1
# Cs2HgAsPd | Alexandria via LeMat-Bulk | PBE | optimized geometry
# SG: P4/mmm
# DFT total energy, eV/atom: -2.6240
# Calculated density, g/cm3: 4.84
# Size of the total moment, μB per cell: 0.0
# Formation enthalpy at 0 K, eV/atom: -0.254
# Offset from the most stable computed form, eV/f.u.: 0.00
data_Cs2HgAsPd
_cell_length_a 6.881
_cell_length_b 6.881
_cell_length_c 4.697
_cell_angle_alpha 90.00
_cell_angle_beta 90.00
_cell_angle_gamma 90.00
_space_group_name_H-M_alt 'P 1'
_space_group_IT_number 1
_space_group_name_Hall 'P 1'
loop_
_atom_site_label
_atom_site_type_symbol
_atom_site_fract_x
_atom_site_fract_y
_atom_site_fract_z
Cs1 Cs 0.000 0.500 0.000
Cs2 Cs 0.500 0.000 0.000
Hg1 Hg 0.000 0.000 0.500
As1 As 0.500 0.500 0.500
Pd1 Pd 0.500 0.500 0.000

# 2
# CsHgAsPt | Alexandria via LeMat-Bulk | PBE | optimized geometry
# SG: Pm
# DFT total energy, eV/atom: -3.2130
# Calculated density, g/cm3: 7.35
# Size of the total moment, μB per cell: 0.0
# Formation enthalpy at 0 K, eV/atom: -0.252
# Offset from the most stable computed form, eV/f.u.: 0.08
data_CsHgAsPt
_cell_length_a 5.656
_cell_length_b 3.880
_cell_length_c 6.580
_cell_angle_alpha 90.00
_cell_angle_beta 109.23
_cell_angle_gamma 90.00
_space_group_name_H-M_alt 'P 1'
_space_group_IT_number 1
_space_group_name_Hall 'P 1'
loop_
_atom_site_label
_atom_site_type_symbol
_atom_site_fract_x
_atom_site_fract_y
_atom_site_fract_z
Cs1 Cs 0.000 0.000 0.000
Hg1 Hg 0.757 0.500 0.442
As1 As 0.263 0.500 0.631
Pt1 Pt 0.428 0.000 0.513

# 3
# CsHgAsPt | Alexandria via LeMat-Bulk | PBE | optimized geometry
# SG: Cm
# DFT total energy, eV/atom: -3.1667
# Calculated density, g/cm3: 8.16
# Size of the total moment, μB per cell: 0.0
# Formation enthalpy at 0 K, eV/atom: -0.205
# Offset from the most stable computed form, eV/f.u.: 0.26
data_CsHgAsPt
_cell_length_a 3.875
_cell_length_b 3.875
_cell_length_c 8.879
_cell_angle_alpha 102.90
_cell_angle_beta 102.90
_cell_angle_gamma 73.51
_space_group_name_H-M_alt 'P 1'
_space_group_IT_number 1
_space_group_name_Hall 'P 1'
loop_
_atom_site_label
_atom_site_type_symbol
_atom_site_fract_x
_atom_site_fract_y
_atom_site_fract_z
Cs1 Cs 0.000 0.000 0.000
Hg1 Hg 0.639 0.639 0.337
As1 As 0.116 0.116 0.611
Pt1 Pt 0.522 0.522 0.671

# 4
# CsHgAsPt | Alexandria via LeMat-Bulk | PBE | optimized geometry
# SG: P1
# DFT total energy, eV/atom: -3.2325
# Calculated density, g/cm3: 6.87
# Size of the total moment, μB per cell: 0.0
# Formation enthalpy at 0 K, eV/atom: -0.271
# Offset from the most stable computed form, eV/f.u.: 0.00
data_CsHgAsPt
_cell_length_a 4.602
_cell_length_b 5.320
_cell_length_c 6.466
_cell_angle_alpha 107.17
_cell_angle_beta 95.18
_cell_angle_gamma 102.21
_space_group_name_H-M_alt 'P 1'
_space_group_IT_number 1
_space_group_name_Hall 'P 1'
loop_
_atom_site_label
_atom_site_type_symbol
_atom_site_fract_x
_atom_site_fract_y
_atom_site_fract_z
Cs1 Cs 0.000 0.000 0.000
Hg1 Hg 0.506 0.237 0.553
As1 As 0.797 0.619 0.398
Pt1 Pt 0.329 0.711 0.496

- Which of these has the highest DFT total energy?
  Cs2HgAsPd